First-principles (PBE+U) data for an optimized crystal structure of KLaW2O8, as listed in Alexandria via LeMat-Bulk.

For the total energy, the calculation gives -177.28 eV/cell. For the density of states at the Fermi level, the calculation gives 0.000 states/eV/f.u.

The structure belongs to space group I-4 (No. 82); the cell edges are 5.543, 5.543 and 12.056 Å and the angles 90.00°, 90.00° and 90.00°. Symmetry generates all atoms from K at (0.000, 0.000, 0.000), La at (0.000, 0.500, 0.250), W at (0.000, 0.000, 0.500), W at (0.000, 0.500, 0.750), O at (0.127, 0.237, 0.413) and O at (0.159, 0.732, 0.829).